# CdIn2Mo, relaxed, DFT PBE
data_CdIn2Mo
_chemical_formula_sum 'Cd1 In2 Mo1'
_symmetry_space_group_name_H-M 'P m m m'
_symmetry_Int_Tables_number 47
_symmetry_space_group_name_Hall '-P 2 2'
_cell_length_a 3.2321
_cell_length_b 4.0992
_cell_length_c 6.1606
_cell_angle_alpha 90.00
_cell_angle_beta 90.00
_cell_angle_gamma 90.00
loop_
_atom_site_label
_atom_site_fract_x
_atom_site_fract_y
_atom_site_fract_z
_atom_site_occupancy
Cd1 0.0000 0.0000 0.0000 1
In1 0.5000 0.5000 0.2646 1
Mo1 0.0000 0.0000 0.5000 1
# Energy relative to the elements   353 meV/atom
# VASP energy   -3.95 eV/atom
# Magnetic moment   0.000 μB per formula unit

***

# CdInMo2, relaxed, DFT PBE
data_CdInMo2
_chemical_formula_sum 'Cd1 In1 Mo2'
_symmetry_space_group_name_H-M 'P 1 2/m 1'
_symmetry_Int_Tables_number 10
_symmetry_space_group_name_Hall '-P 2y'
_cell_length_a 2.8297
_cell_length_b 4.6671
_cell_length_c 5.6421
_cell_angle_alpha 90.00
_cell_angle_beta 104.01
_cell_angle_gamma 90.00
loop_
_atom_site_label
_atom_site_fract_x
_atom_site_fract_y
_atom_site_fract_z
_atom_site_occupancy
Cd1 0.0000 0.0000 0.0000 1
In1 0.0000 0.0000 0.5000 1
Mo1 0.4993 0.5000 0.7455 1
# Energy relative to the elements   456 meV/atom
# ΔE to the lowest computed polymorph   199 meV/atom
# VASP energy   -5.87 eV/atom
# Magnetic moment   0.000 μB per formula unit

***

# Cd2InMo, relaxed, DFT PBE
data_Cd2InMo
_chemical_formula_sum 'Cd6 In3 Mo3'
_symmetry_space_group_name_H-M 'R 3 m'
_symmetry_Int_Tables_number 160
_symmetry_space_group_name_Hall 'R 3 -2"'
_cell_length_a 3.0709
_cell_length_b 3.0709
_cell_length_c 29.9409
_cell_angle_alpha 90.00
_cell_angle_beta 90.00
_cell_angle_gamma 120.00
loop_
_atom_site_label
_atom_site_fract_x
_atom_site_fract_y
_atom_site_fract_z
_atom_site_occupancy
Cd1 0.0000 0.0000 0.0000 1
Cd2 0.0000 0.0000 0.2461 1
In1 0.0000 0.0000 0.4902 1
Mo1 0.0000 0.0000 0.7453 1
# Energy relative to the elements   350 meV/atom
# VASP energy   -3.50 eV/atom
# Magnetic moment   0.000 μB per formula unit

***

# CdInMo2, relaxed, DFT PBE
data_CdInMo2
_chemical_formula_sum 'Cd2 In2 Mo4'
_symmetry_space_group_name_H-M 'C m m 2'
_symmetry_Int_Tables_number 35
_symmetry_space_group_name_Hall 'C 2 -2'
_cell_length_a 3.2440
_cell_length_b 4.8649
_cell_length_c 9.7193
_cell_angle_alpha 90.00
_cell_angle_beta 90.00
_cell_angle_gamma 90.00
loop_
_atom_site_label
_atom_site_fract_x
_atom_site_fract_y
_atom_site_fract_z
_atom_site_occupancy
Cd1 0.0000 0.0000 0.0000 1
In1 0.0000 0.5000 0.2892 1
Mo1 0.0000 0.0000 0.5426 1
Mo2 0.0000 0.5000 0.7461 1
# Energy relative to the elements   296 meV/atom
# ΔE to the lowest computed polymorph   39 meV/atom
# VASP energy   -6.03 eV/atom
# Magnetic moment   0.000 μB per formula unit